Density functional theory data (PBE) for a relaxed BePW2N crystal.

The space group is P4/mmm (No. 123) and the conventional cell measures 4.412, 4.412 and 3.069 Å, with angles of 90.00, 90.00 and 90.00 degrees. The inequivalent atoms are Be at (0.000, 0.000, 0.000), P at (0.500, 0.500, 0.500), W at (0.000, 0.500, 0.000) and N at (0.000, 0.000, 0.500).

***

Density functional theory data (PBE) for a relaxed PmPa2BeN4 crystal.

The space group is Cmcm (No. 63) and the conventional cell measures 3.528, 11.470 and 11.130 Å, with angles of 90.00, 90.00 and 90.00 degrees. The inequivalent atoms are Pm at (0.000, 0.098, 0.250), Pa at (0.000, 0.369, 0.055), Be at (0.000, 0.182, 0.750), N at (0.000, 0.000, 0.000), N at (0.000, 0.260, 0.625) and N at (0.000, 0.426, 0.250).

***

Density functional theory data (PBE) for a relaxed PmPaBeN3 crystal.

The space group is P2_1/m (No. 11) and the conventional cell measures 6.925, 3.374 and 7.228 Å, with angles of 90.00, 99.30 and 90.00 degrees. The inequivalent atoms are Pm at (0.205, 0.250, 0.165), Pa at (0.192, 0.250, 0.655), Be at (0.405, 0.750, 0.928), N at (0.137, 0.750, 0.417), N at (0.155, 0.750, 0.878) and N at (0.493, 0.250, 0.844).

***

Density functional theory data (PBE) for a relaxed PrPa2BeN4 crystal.

The space group is Cmcm (No. 63) and the conventional cell measures 3.552, 11.632 and 11.084 Å, with angles of 90.00, 90.00 and 90.00 degrees. The inequivalent atoms are Pr at (0.000, 0.093, 0.250), Pa at (0.000, 0.370, 0.053), Be at (0.000, 0.182, 0.750), N at (0.000, 0.000, 0.000), N at (0.000, 0.256, 0.622) and N at (0.000, 0.419, 0.250).

***

Quick rundown of formation energy from raw total energies, same order as above: 0.77 -1.35 -1.37 -1.36 eV/atom
Quick rundown of total DFT energy (no corrections), same order as above: -7.901 -8.951 -8.524 -8.959 eV per atom